[1]
Here is an optimized crystal structure of MnTe3Os from Alexandria. Energies are from PBE-GGA.

The structure in POSCAR format:
```
MnTe3Os
1.0
4.8382 0.0000 0.0000
0.0000 4.8382 0.0000
0.0000 0.0000 4.8382
Mn Te Os
1 3 1
direct
0.0000 0.0000 0.0000
0.0000 0.0000 0.5000
0.0000 0.5000 0.0000
0.5000 0.0000 0.0000
0.5000 0.5000 0.5000
```

raw formation energy: 1.325 eV/atom
V: 113.3 Å³/cell
offset from the most stable computed form: 0 meV per atom

[2]
Here is an optimized crystal structure of LiMn2Cl6 from Alexandria. Energies are from PBE-GGA.

The structure in POSCAR format:
```
LiMn2Cl6
1.0
6.2287 -2.0696 0.0000
6.2287 2.0696 0.0000
-1.0928 0.0000 9.0755
Li Mn Cl
1 2 6
direct
0.0000 0.0000 0.0000
0.2622 0.2622 0.6806
0.7378 0.7378 0.3194
0.1044 0.1044 0.7728
0.1624 0.1624 0.4205
0.3812 0.3812 0.8884
0.6188 0.6188 0.1116
0.8376 0.8376 0.5795
0.8956 0.8956 0.2272
```

raw formation energy: -1.107 eV/atom
V: 234.0 Å³/cell
offset from the most stable computed form: 45 meV per atom

[3]
Here is an optimized crystal structure of Ce2TmGe3Pd4 from Alexandria. Energies are from PBE-GGA.

The structure in POSCAR format:
```
Ce2TmGe3Pd4
1.0
4.2394 0.0000 0.0000
0.0000 4.2394 0.0000
0.0000 0.0000 11.3308
Ce Tm Ge Pd
2 1 3 4
direct
0.0000 0.5000 0.2250
0.5000 0.0000 0.7750
0.0000 0.0000 0.5000
0.0000 0.5000 0.8751
0.5000 0.0000 0.1249
0.5000 0.5000 0.5000
0.0000 0.0000 0.0000
0.0000 0.5000 0.6559
0.5000 0.0000 0.3441
0.5000 0.5000 0.0000
```

energy of formation from the pure elements: -18.53 kcal/mol of atoms
V: 203.6 Å³/cell

[4]
Here is an optimized crystal structure of SrLiTmIn from Alexandria. Energies are from PBE-GGA.

The structure in POSCAR format:
```
SrLiTmIn
1.0
0.0000 3.8742 3.8742
3.8742 0.0000 3.8742
3.8742 3.8742 0.0000
Sr Li Tm In
1 1 1 1
direct
0.0000 0.0000 0.0000
0.7500 0.7500 0.7500
0.5000 0.5000 0.5000
0.2500 0.2500 0.2500
```

energy of formation from the pure elements: -3.93 kcal/mol of atoms
V: 116.3 Å³/cell

[5]
Here is an optimized crystal structure of ThTi2In from Alexandria. Energies are from PBE-GGA.

The structure in POSCAR format:
```
ThTi2In
1.0
3.5417 0.0000 0.0000
0.0000 3.5417 0.0000
0.0000 0.0000 6.8917
Th Ti In
1 2 1
direct
0.0000 0.0000 0.0000
0.5000 0.5000 0.2638
0.5000 0.5000 0.7362
0.0000 0.0000 0.5000
```

energy of formation from the pure elements: 0.77 kcal/mol of atoms
V: 86.4 Å³/cell
offset from the most stable computed form: 54 meV per atom

[6]
Here is an optimized crystal structure of TbCe2Hf from Alexandria. Energies are from PBE-GGA.

The structure in POSCAR format:
```
TbCe2Hf
1.0
0.0000 3.8194 3.8194
3.8194 0.0000 3.8194
3.8194 3.8194 0.0000
Tb Ce Hf
1 2 1
direct
0.0000 0.0000 0.0000
0.2500 0.2500 0.2500
0.7500 0.7500 0.7500
0.5000 0.5000 0.5000
```

energy of formation from the pure elements: 6.82 kcal/mol of atoms
V: 111.4 Å³/cell
offset from the most stable computed form: 157 meV per atom

[7]
Here is an optimized crystal structure of Gd2HfTh from Alexandria. Energies are from PBE-GGA.

The structure in POSCAR format:
```
Gd2HfTh
1.0
1.6946 0.9784 11.9367
-1.6946 0.9784 11.9367
0.0000 -1.9567 11.9367
Gd Hf Th
2 1 1
direct
0.0864 0.0864 0.0864
0.9136 0.9136 0.9136
0.0000 0.0000 0.0000
0.5000 0.5000 0.5000
```

energy of formation from the pure elements: 8.57 kcal/mol of atoms
V: 118.7 Å³/cell
offset from the most stable computed form: 232 meV per atom

[8]
Here is an optimized crystal structure of VFe4Pt3 from Alexandria. Energies are from PBE-GGA.

The structure in POSCAR format:
```
VFe4Pt3
1.0
9.6656 -1.3813 0.0000
9.6656 1.3813 0.0000
-0.7835 0.0000 4.3182
V Fe Pt
1 4 3
direct
0.0000 0.0000 0.0000
0.2104 0.2104 0.1762
0.4010 0.4010 0.9136
0.5990 0.5990 0.0864
0.7896 0.7896 0.8238
0.3401 0.3401 0.3668
0.5000 0.5000 0.5000
0.6599 0.6599 0.6332
```

energy of formation from the pure elements: 2.19 kcal/mol of atoms
V: 115.3 Å³/cell

[9]
Here is an optimized crystal structure of Cu2NiRu from Alexandria. Energies are from PBE-GGA.

The structure in POSCAR format:
```
Cu2NiRu
1.0
4.3405 -1.2644 0.0000
4.3405 1.2644 0.0000
-0.7348 0.0000 4.4678
Cu Ni Ru
2 1 1
direct
0.2479 0.2479 0.2440
0.7521 0.7521 0.7560
0.5000 0.5000 0.0000
0.0000 0.0000 0.5000
```

energy of formation from the pure elements: 3.59 kcal/mol of atoms
V: 49.0 Å³/cell
offset from the most stable computed form: 38 meV per atom

[10]
Here is an optimized crystal structure of SrCdInPd3 from Alexandria. Energies are from PBE-GGA.

The structure in POSCAR format:
```
SrCdInPd3
1.0
3.2177 -6.4900 0.0000
3.2177 6.4900 0.0000
0.0000 0.0000 6.4570
Sr Cd In Pd
2 2 2 6
direct
0.1794 0.8206 0.7500
0.8206 0.1794 0.2500
0.4178 0.5822 0.7500
0.5822 0.4178 0.2500
0.1440 0.8560 0.2500
0.8560 0.1440 0.7500
0.2126 0.2126 0.0000
0.2126 0.2126 0.5000
0.3552 0.6448 0.2500
0.6448 0.3552 0.7500
0.7874 0.7874 0.0000
0.7874 0.7874 0.5000
```

energy of formation from the pure elements: -8.01 kcal/mol of atoms
V: 269.7 Å³/cell

[11]
Here is an optimized crystal structure of PrCd2Hg6 from Alexandria. Energies are from PBE-GGA.

The structure in POSCAR format:
```
PrCd2Hg6
1.0
5.1809 0.0000 0.0000
-2.5905 4.4868 0.0000
0.0000 0.0000 9.7783
Pr Cd Hg
1 2 6
direct
0.0000 0.0000 0.0000
0.3333 0.6667 0.1918
0.6667 0.3333 0.8082
0.0000 0.0000 0.3333
0.0000 0.0000 0.6667
0.3333 0.6667 0.5211
0.3333 0.6667 0.8532
0.6667 0.3333 0.1468
0.6667 0.3333 0.4789
```

energy of formation from the pure elements: -3.79 kcal/mol of atoms
V: 227.3 Å³/cell
offset from the most stable computed form: 0 meV per atom

[12]
Here is an optimized crystal structure of BeNbH from Alexandria. Energies are from PBE-GGA.

The structure in POSCAR format:
```
BeNbH
1.0
3.4181 0.0000 0.0000
0.0000 3.5252 0.0000
-1.7080 0.0000 4.6962
Be Nb H
2 2 2
direct
0.0681 0.2500 0.1375
0.9319 0.7500 0.8625
0.3482 0.2500 0.6952
0.6518 0.7500 0.3048
0.4374 0.7500 0.8759
0.5626 0.2500 0.1241
```

V: 56.6 Å³/cell
offset from the most stable computed form: 98 meV per atom

[13]
Here is an optimized crystal structure of NiAgBi3 from Alexandria. Energies are from PBE-GGA.

The structure in POSCAR format:
```
NiAgBi3
1.0
5.4486 0.0000 0.0000
0.0000 5.4486 0.0000
0.0000 0.0000 5.4486
Ni Ag Bi
1 1 3
direct
0.0000 0.0000 0.0000
0.5000 0.5000 0.5000
0.0000 0.5000 0.5000
0.5000 0.0000 0.5000
0.5000 0.5000 0.0000
```

energy of formation from the pure elements: 23.57 kcal/mol of atoms
V: 161.7 Å³/cell
offset from the most stable computed form: 659 meV per atom

[14]
Here is an optimized crystal structure of Nd2SmPaP4 from Alexandria. Energies are from PBE-GGA.

The structure in POSCAR format:
```
Nd2SmPaP4
1.0
7.0787 0.0000 0.0000
0.0000 4.0953 0.0000
-2.3573 0.0000 6.6948
Nd Sm Pa P
2 1 1 4
direct
0.0000 0.0000 0.0000
0.5000 0.5000 0.0000
0.0000 0.5000 0.5000
0.5000 0.0000 0.5000
0.2555 0.0000 0.7395
0.2612 0.5000 0.2637
0.7388 0.5000 0.7363
0.7445 0.0000 0.2605
```

energy of formation from the pure elements: -34.67 kcal/mol of atoms
V: 194.1 Å³/cell

[15]
Here is an optimized crystal structure of Hf2TlTeO from Alexandria. Energies are from PBE-GGA.

The structure in POSCAR format:
```
Hf2TlTeO
1.0
5.2571 0.0000 0.0000
0.0000 5.2571 0.0000
0.0000 0.0000 6.1859
Hf Tl Te O
2 1 1 1
direct
0.0000 0.5000 0.0000
0.5000 0.0000 0.0000
0.0000 0.0000 0.5000
0.0000 0.0000 0.0000
0.5000 0.5000 0.5000
```

raw formation energy: 1.397 eV/atom
V: 171.0 Å³/cell

[16]
Here is an optimized crystal structure of Rb4TlCd3Br12 from Alexandria. Energies are from PBE-GGA.

The structure in POSCAR format:
```
Rb4TlCd3Br12
1.0
-5.6466 5.6466 5.6466
5.6466 -5.6466 5.6466
5.6466 5.6466 -5.6466
Rb Tl Cd Br
4 1 3 12
direct
0.0000 0.0000 0.5000
0.0000 0.5000 0.0000
0.5000 0.0000 0.0000
0.5000 0.5000 0.5000
0.0000 0.0000 0.0000
0.0000 0.5000 0.5000
0.5000 0.0000 0.5000
0.5000 0.5000 0.0000
0.0000 0.2579 0.2579
0.0000 0.7421 0.7421
0.2500 0.5000 0.7500
0.2500 0.7500 0.5000
0.2579 0.0000 0.2579
0.2579 0.2579 0.0000
0.5000 0.2500 0.7500
0.5000 0.7500 0.2500
0.7421 0.0000 0.7421
0.7421 0.7421 0.0000
0.7500 0.2500 0.5000
0.7500 0.5000 0.2500
```

raw formation energy: -1.144 eV/atom
V: 720.1 Å³/cell

[17]
Here is an optimized crystal structure of Ta2CuBr from Alexandria. Energies are from PBE-GGA.

The structure in POSCAR format:
```
Ta2CuBr
1.0
2.8164 -4.3551 0.0000
2.8164 4.3551 0.0000
-0.9463 0.0000 2.8131
Ta Cu Br
2 1 1
direct
0.0000 0.5000 0.0000
0.5000 0.0000 0.0000
0.0000 0.0000 0.5000
0.5000 0.5000 0.5000
```

raw formation energy: 0.644 eV/atom
V: 69.0 Å³/cell
offset from the most stable computed form: 376 meV per atom

[18]
Here is an optimized crystal structure of Ca2ZrPb from Alexandria. Energies are from PBE-GGA.

The structure in POSCAR format:
```
Ca2ZrPb
1.0
3.5535 0.0000 0.0000
0.0000 4.9416 0.0000
0.0000 0.0000 6.5698
Ca Zr Pb
2 1 1
direct
0.0000 0.0000 0.2496
0.0000 0.0000 0.7504
0.5000 0.5000 0.0000
0.5000 0.5000 0.5000
```

energy of formation from the pure elements: -0.02 kcal/mol of atoms
V: 115.4 Å³/cell

[19]
Here is an optimized crystal structure of CeHg2F8 from Alexandria. Energies are from PBE-GGA.

The structure in POSCAR format:
```
CeHg2F8
1.0
4.9130 -3.6671 0.0000
4.9130 3.6671 0.0000
-1.2403 0.0000 5.0885
Ce Hg F
1 2 8
direct
0.0000 0.0000 0.0000
0.3400 0.3400 0.5941
0.6600 0.6600 0.4059
0.0495 0.6651 0.7542
0.1384 0.1384 0.7308
0.3349 0.9505 0.2458
0.4247 0.4247 0.2318
0.5753 0.5753 0.7682
0.6651 0.0495 0.7542
0.8616 0.8616 0.2692
0.9505 0.3349 0.2458
```

raw formation energy: -2.428 eV/atom
V: 183.4 Å³/cell
offset from the most stable computed form: 0 meV per atom

[20]
Here is an optimized crystal structure of RbBiI2Cl from Alexandria. Energies are from PBE-GGA.

The structure in POSCAR format:
```
RbBiI2Cl
1.0
6.3362 0.0000 0.0000
0.0000 6.3362 0.0000
0.0000 0.0000 5.6397
Rb Bi I Cl
1 1 2 1
direct
0.0000 0.0000 0.0000
0.5000 0.5000 0.5000
0.0000 0.5000 0.5000
0.5000 0.0000 0.5000
0.5000 0.5000 0.0000
```

raw formation energy: -0.883 eV/atom
V: 226.4 Å³/cell
offset from the most stable computed form: 0 meV per atom

[21]
Here is an optimized crystal structure of K2LiCd3 from Alexandria. Energies are from PBE-GGA.

The structure in POSCAR format:
```
K2LiCd3
1.0
5.4481 -3.2451 0.0000
5.4481 3.2451 0.0000
-3.5870 0.0000 5.2000
K Li Cd
2 1 3
direct
0.1236 0.1236 0.3708
0.8764 0.8764 0.6292
0.5000 0.5000 0.5000
0.0000 0.5000 0.0000
0.5000 0.0000 0.0000
0.5000 0.5000 0.0000
```

energy of formation from the pure elements: -1.97 kcal/mol of atoms
V: 183.9 Å³/cell

[22]
Here is an optimized crystal structure of Ac4SbAs2P from Alexandria. Energies are from PBE-GGA.

The structure in POSCAR format:
```
Ac4SbAs2P
1.0
7.9474 0.0000 0.0000
0.0000 4.5876 0.0000
-2.6465 0.0000 7.5091
Ac Sb As P
4 1 2 1
direct
0.2430 0.0000 0.2388
0.2494 0.5000 0.7582
0.7506 0.5000 0.2418
0.7570 0.0000 0.7612
0.5000 0.5000 0.5000
0.0000 0.0000 0.5000
0.0000 0.5000 0.0000
0.5000 0.0000 0.0000
```

raw formation energy: -1.383 eV/atom
V: 273.8 Å³/cell

[23]
Here is an optimized crystal structure of PmSmBeCd from Alexandria. Energies are from PBE-GGA.

The structure in POSCAR format:
```
PmSmBeCd
1.0
0.0000 3.6809 3.6809
3.6809 0.0000 3.6809
3.6809 3.6809 0.0000
Pm Sm Be Cd
1 1 1 1
direct
0.0000 0.0000 0.0000
0.5000 0.5000 0.5000
0.7500 0.7500 0.7500
0.2500 0.2500 0.2500
```

energy of formation from the pure elements: -0.07 kcal/mol of atoms
V: 99.7 Å³/cell

[24]
Here is an optimized crystal structure of SiTe2H from Alexandria. Energies are from PBE-GGA.

The structure in POSCAR format:
```
SiTe2H
1.0
1.5955 0.9212 9.0479
-1.5955 0.9212 9.0479
0.0000 -1.8423 9.0479
Si Te H
1 2 1
direct
0.0000 0.0000 0.0000
0.1031 0.1031 0.1031
0.8969 0.8969 0.8969
0.5000 0.5000 0.5000
```

V: 79.8 Å³/cell
offset from the most stable computed form: 729 meV per atom

[25]
Here is an optimized crystal structure of MgAlNi2 from Alexandria. Energies are from PBE-GGA.

The structure in POSCAR format:
```
MgAlNi2
1.0
1.3874 0.8010 8.3880
-1.3874 0.8010 8.3880
0.0000 -1.6021 8.3880
Mg Al Ni
1 1 2
direct
0.0000 0.0000 0.0000
0.7679 0.7679 0.7679
0.2518 0.2518 0.2518
0.5080 0.5080 0.5080
```

energy of formation from the pure elements: 0.41 kcal/mol of atoms
V: 55.9 Å³/cell

[26]
Here is an optimized crystal structure of Tl2NiRu from Alexandria. Energies are from PBE-GGA.

The structure in POSCAR format:
```
Tl2NiRu
1.0
1.6007 0.9241 8.2916
-1.6007 0.9241 8.2916
0.0000 -1.8483 8.2916
Tl Ni Ru
2 1 1
direct
0.2472 0.2472 0.2472
0.7528 0.7528 0.7528
0.5000 0.5000 0.5000
0.0000 0.0000 0.0000
```

energy of formation from the pure elements: 12.83 kcal/mol of atoms
V: 73.6 Å³/cell
offset from the most stable computed form: 130 meV per atom

[27]
Here is an optimized crystal structure of PrAl2Os from Alexandria. Energies are from PBE-GGA.

The structure in POSCAR format:
```
PrAl2Os
1.0
3.1775 0.0000 0.0000
0.0000 3.1775 0.0000
0.0000 0.0000 7.5102
Pr Al Os
1 2 1
direct
0.0000 0.0000 0.0000
0.5000 0.5000 0.3203
0.5000 0.5000 0.6797
0.0000 0.0000 0.5000
```

energy of formation from the pure elements: -7.61 kcal/mol of atoms
V: 75.8 Å³/cell